## Sc2ZnHg5 (GGA-PBE)

Data for crystalline Sc2ZnHg5 at its relaxed geometry.

Cell: 4.806 6.476 10.982 Å, 90.00 90.00 90.00°
Space group Amm2 (No. 38)
Symmetry-distinct sites (fractional):
Sc (0.000, 0.000, 0.000) x2
Sc (0.500, 0.000, 0.330) x2
Zn (0.000, 0.000, 0.500) x2
Hg (0.000, 0.242, 0.251) x4
Hg (0.500, 0.000, 0.832) x2
Hg (0.500, 0.242, 0.574) x4

The volume comes out at 342 Å³/cell. As for the crystal system: orthorhombic. The calculation puts the calculated formation energy at -230 meV per atom.